Entry 1:
SnAs2SeN: single point on PBEsol structure, SCAN.

abc: 5.265 5.265 5.242
angles: 90.00 90.00 90.00
Atoms (fractional coordinates):
Sn: 0.000 0.000 0.000
As: 0.000 0.500 0.000
As: 0.500 0.000 0.000
Se: 0.000 0.000 0.500
N: 0.500 0.500 0.500

Computed properties:
Density of states at the Fermi level ... 2.87 states/eV per cell
Theoretical density ... 4131 kg/m³
Symmetry ... P4/mmm
E_form (uncorrected) ... 39.43 kcal/mol of atoms


Entry 2:
BaBSb2I: single point on PBEsol structure, SCAN.

abc: 6.340 6.340 6.409
angles: 90.00 90.00 90.00
Atoms (fractional coordinates):
Ba: 0.000 0.000 0.000
B: 0.500 0.500 0.500
Sb: 0.000 0.500 0.000
Sb: 0.500 0.000 0.000
I: 0.000 0.000 0.500

Computed properties:
Density of states at the Fermi level ... 3.67 states/eV per cell
Theoretical density ... 3342 kg/m³
Symmetry ... P4/mmm
E_form (uncorrected) ... 33.83 kcal/mol of atoms


Entry 3:
ScAg3H: single point on PBEsol structure, SCAN.

abc: 5.210 5.210 5.210
angles: 90.00 90.00 90.00
Atoms (fractional coordinates):
Sc: 0.000 0.000 0.000
Ag: 0.000 0.000 0.500
Ag: 0.000 0.500 0.000
Ag: 0.500 0.000 0.000
H: 0.500 0.500 0.500

Computed properties:
Density of states at the Fermi level ... 2.46 states/eV per cell
Theoretical density ... 4340 kg/m³
Symmetry ... Pm-3m
Total DFT energy (no corrections) ... -20.92 eV per atom


Entry 4:
MnTe2BrN: single point on PBEsol structure, SCAN.

abc: 5.342 5.342 3.424
angles: 90.00 90.00 90.00
Atoms (fractional coordinates):
Mn: 0.000 0.000 0.000
Te: 0.000 0.500 0.000
Te: 0.500 0.000 0.000
Br: 0.500 0.500 0.500
N: 0.000 0.000 0.500

Computed properties:
Density of states at the Fermi level ... 3.27 states/eV per cell
Theoretical density ... 6866 kg/m³
Symmetry ... P4/mmm
E_form (uncorrected) ... 5.49 kcal/mol of atoms